No. 1
Here is a relaxed structure of RbTiV3 from Alexandria. Energies are from GGA-PBE.

Output
**Energy above the lowest structure with this stoichiometry**: 0 meV/atom
**N(E_F)**: 1.809 states/eV/atom
**Calculated density**: 3.92 Mg/m³
**ΔE_f**: 1.59 eV/atom

a = 4.948 Å, b = 4.948 Å, c = 4.948 Å
α = 90.00°, β = 90.00°, γ = 90.00°
Sites, in units of the cell vectors:
Rb: 0.000 0.000 0.000
Ti: 0.500 0.500 0.500
V: 0.000 0.500 0.500
V: 0.500 0.000 0.500
V: 0.500 0.500 0.000



No. 2
Here is a relaxed structure of LiZrPS2 from Alexandria. Energies are from GGA-PBE.

Output
**Energy above the lowest structure with this stoichiometry**: 474 meV/atom
**N(E_F)**: 0.779 states/eV/atom
**Calculated density**: 3.84 Mg/m³
**Raw formation energy**: -0.0210 eV/atom

a = 4.391 Å, b = 4.391 Å, c = 4.334 Å
α = 90.00°, β = 90.00°, γ = 90.00°
Sites, in units of the cell vectors:
Li: 0.000 0.000 0.000
Zr: 0.500 0.500 0.500
P: 0.000 0.000 0.500
S: 0.000 0.500 0.000
S: 0.500 0.000 0.000



No. 3
Here is a relaxed structure of Co2As2Ru from Alexandria. Energies are from GGA-PBE.

Output
**N(E_F)**: 1.225 states/eV/atom
**Calculated density**: 9.31 Mg/m³
**ΔE_f**: 0.03 eV/atom

a = 6.701 Å, b = 6.701 Å, c = 2.930 Å
α = 90.00°, β = 90.00°, γ = 90.00°
Sites, in units of the cell vectors:
Co: 0.137 0.363 0.000
Co: 0.363 0.863 0.000
Co: 0.637 0.137 0.000
Co: 0.863 0.637 0.000
As: 0.158 0.658 0.500
As: 0.342 0.158 0.500
As: 0.658 0.842 0.500
As: 0.842 0.342 0.500
Ru: 0.000 0.000 0.500
Ru: 0.500 0.500 0.500



> Which formula does entry 3 have?

Co2As2Ru



Copy entry 2 word for word.
Here is a relaxed structure of LiZrPS2 from Alexandria. Energies are from GGA-PBE.

Output
**Energy above the lowest structure with this stoichiometry**: 474 meV/atom
**N(E_F)**: 0.779 states/eV/atom
**Calculated density**: 3.84 Mg/m³
**Raw formation energy**: -0.0210 eV/atom

a = 4.391 Å, b = 4.391 Å, c = 4.334 Å
α = 90.00°, β = 90.00°, γ = 90.00°
Sites, in units of the cell vectors:
Li: 0.000 0.000 0.000
Zr: 0.500 0.500 0.500
P: 0.000 0.000 0.500
S: 0.000 0.500 0.000
S: 0.500 0.000 0.000



> Among the records above, which one has the highest calculated density?

Co2As2Ru